No. 1
Entry from Alexandria: Tm3Pu3ScS8 after structural relaxation (GGA-PBE).

Computed properties:
The raw total energy comes out at -8.2974 eV per atom. The value obtained for the raw formation energy is -1913 meV per atom. The total moment is 17.083 μB per cell.

Geometry as POSCAR:
```
Tm3Pu3ScS8
1.0
7.7415 0.0002 -0.0003
-3.8708 6.7041 -0.0237
-0.0001 -4.4472 6.3878
S Pu Tm Sc
8 3 3 1
direct
0.7474 0.4949 0.7424
0.7578 0.0066 0.2645
0.2488 0.0066 0.2645
0.7512 0.9934 0.7355
0.7578 0.5156 0.2644
0.2422 0.4844 0.7356
0.2526 0.5051 0.2576
0.2422 0.9934 0.7355
0.0000 0.0000 0.0000
0.0000 0.5000 0.0000
0.5000 0.5000 0.0000
0.5000 0.5000 0.5000
0.0000 0.5000 0.5000
0.5000 0.0000 0.5000
0.0000 0.0000 0.5000
```



No. 2
Entry from Alexandria: TeRh2IBr after structural relaxation (GGA-PBE).

Computed properties:
The raw total energy comes out at -3.3461 eV per atom. The value obtained for the raw formation energy is 867 meV per atom. The total moment is 0.510 μB per cell.

Geometry as POSCAR:
```
TeRh2IBr
1.0
4.9846 0.0000 0.0000
0.0000 5.9761 0.0000
0.0000 0.0000 4.9846
Rh Br I Te
2 1 1 1
direct
0.0000 0.0000 0.5000
0.5000 0.0000 0.0000
0.5000 0.5000 0.5000
0.0000 0.5000 0.0000
0.0000 0.0000 0.0000
```



No. 3
Entry from Alexandria: BeTlSeN2 after structural relaxation (GGA-PBE).

Computed properties:
The raw total energy comes out at -3.1703 eV per atom. The value obtained for the raw formation energy is 2075 meV per atom. The total moment is 2.771 μB per cell. As for the energy above the most stable polymorph in this dataset: 0.891 eV/atom.

Geometry as POSCAR:
```
BeTlSeN2
1.0
-0.2080 3.4800 2.2824
-3.7943 0.7801 -1.5352
-2.5419 -3.2043 4.6540
N Be Tl Se
2 1 1 1
direct
0.5000 0.0000 0.0000
0.0000 0.5000 0.0000
0.5000 0.5000 0.5000
0.0000 0.0000 0.0000
0.0000 0.0000 0.5000
```



No. 4
Entry from Alexandria: BeGa2RhN after structural relaxation (GGA-PBE).

Computed properties:
The raw total energy comes out at -4.0156 eV per atom. The value obtained for the raw formation energy is 1076 meV per atom. The total moment is 1.478 μB per cell.

Geometry as POSCAR:
```
BeGa2RhN
1.0
-2.5342 -3.1909 -1.4096
3.2352 -2.1029 -1.0561
0.1014 -1.8090 3.9126
Rh Ga N Be
1 2 1 1
direct
0.0000 0.5000 0.0000
0.5000 0.0000 0.0000
0.0000 0.0000 0.5000
0.5000 0.5000 0.5000
0.0000 0.0000 0.0000
```